This record from the Alexandria database describes crystalline NdCr2AgO8 at its relaxed geometry. The functional is GGA+U.

Cell: 7.364 7.364 6.489 Å, 90.00 90.00 90.00°
Space group I-4m2 (No. 119)
Inequivalent atoms, fractional coordinates:
Nd (0.000, 0.000, 0.000) (multiplicity 2)
Cr (0.000, 0.000, 0.500) (multiplicity 2)
Cr (0.000, 0.500, 0.750) (multiplicity 2)
Ag (0.000, 0.500, 0.250) (multiplicity 2)
O (0.000, 0.177, 0.337) (multiplicity 8)
O (0.000, 0.315, 0.898) (multiplicity 8)

Output
- total energy (eV/atom) = -6.766
- calculated volume (Å³/cell) = 351.8